# 1
The following is a DFT calculation (PBE) of a relaxed CaRh2Pb crystal.

Properties
Formation enthalpy at 0 K (eV per atom): -0.213

Cell: 3.4333 3.4333 6.6053 Å, 90.00 90.00 90.00°
Closest atoms and distances in Å follow each position.
Space group P4/mmm (No. 123)
One atom of each set of equivalent atoms:
Ca: 0.0000 0.0000 0.0000  8 Rh 3.03, 2 Pb 3.30
Rh: 0.5000 0.5000 0.2737  4 Pb 2.85, 1 Rh 2.99, 4 Ca 3.03
Pb: 0.0000 0.0000 0.5000  8 Rh 2.85

# 2
The following is a DFT calculation (PBE) of a relaxed AgW2Br crystal.

Properties
Offset from the most stable computed form (eV per formula unit): 0.47
Formation energy without anion corrections (eV per formula unit): 2.46

Cell: 2.9593 2.9593 29.1015 Å, 90.00 90.00 120.00°
Closest atoms and distances in Å follow each position.
Space group R3m (No. 160, hexagonal axes)
One atom of each set of equivalent atoms:
Ag: 0.0000 0.0000 0.0000  3 W 2.92, 6 Ag 2.96
W: 0.0000 0.0000 0.2521  9 W 2.86-2.96, 3 Ag 2.92
W: 0.0000 0.0000 0.5065  3 Br 2.64, 3 W 2.86
Br: 0.0000 0.0000 0.7707  3 W 2.64